--- 1 ---
Density functional theory data (PBE) for a geometry-optimized InSBr2 structure.

magnetization = 0.00 μB/f.u.
SG = P1

Cell lengths 6.8215, 7.3140, 8.0788 Å; angles 97.60, 110.04, 116.67 degrees
Element x y z (fractional)
S: 0.0354 0.3203 0.6204
S: 0.2308 0.2039 0.7627
Br: 0.6576 0.5674 0.4458
Br: 0.0736 0.7117 0.0182
Br: 0.8804 0.1526 0.3061
Br: 0.6123 0.9481 0.8371
In: 0.9107 0.8597 0.7736
In: 0.4384 0.0819 0.4698



--- 2 ---
Density functional theory data (PBE) for a geometry-optimized InSBr2 structure.

magnetization = 0.00 μB/f.u.
SG = P-1

Cell lengths 6.1961, 6.1997, 7.6796 Å; angles 83.63, 67.20, 74.87 degrees
Element x y z (fractional)
S: 0.4122 0.6218 0.4307
S: 0.5878 0.3782 0.5693
Br: 0.9423 0.8058 0.2305
Br: 0.0577 0.1942 0.7695
Br: 0.3250 0.1904 0.2310
Br: 0.6750 0.8096 0.7690
In: 0.0000 0.5000 0.5000
In: 0.5000 0.0000 0.5000



What should be chosen as the least stable of them? Choose 1.



--- 1 ---
Density functional theory data (PBE) for a geometry-optimized In2SBr structure.

magnetization = 0.00 μB/f.u.
SG = R-3m

Cell lengths 4.3833, 4.3833, 8.8613 Å; angles 75.68, 75.68, 60.00 degrees
Element x y z (fractional)
S: 0.5000 0.5000 0.5000
Br: 0.0000 0.0000 0.0000
In: 0.1097 0.1097 0.6709
In: 0.8903 0.8903 0.3291



--- 2 ---
Density functional theory data (PBE) for a geometry-optimized In2SBr structure.

magnetization = 0.00 μB/f.u.
SG = P1

Cell lengths 5.4984, 6.4222, 8.9731 Å; angles 95.39, 106.58, 114.52 degrees
Element x y z (fractional)
S: 0.1177 0.2205 0.8136
S: 0.4913 0.8205 0.0573
Br: 0.3980 0.3130 0.3050
Br: 0.2497 0.7525 0.5610
In: 0.5683 0.6337 0.7950
In: 0.7804 0.9455 0.4415
In: 0.5156 0.2212 0.0497
In: 0.9908 0.4889 0.9669



What should be chosen as the least stable of them? Choose 1.



--- 1 ---
Density functional theory data (PBE) for a geometry-optimized In2SBr structure.

magnetization = 0.00 μB/f.u.
SG = Cm

Cell lengths 11.7473, 4.0612, 11.3417 Å; angles 90.00, 111.27, 90.00 degrees
Element x y z (fractional)
S: 0.0039 0.0000 0.5524
S: 0.0039 0.5000 0.0524
S: 0.7348 0.0000 0.8996
S: 0.7348 0.5000 0.3996
Br: 0.5494 0.0000 0.1132
Br: 0.5494 0.5000 0.6132
Br: 0.1942 0.0000 0.3419
Br: 0.1942 0.5000 0.8419
In: 0.2689 0.0000 0.6815
In: 0.2689 0.5000 0.1815
In: 0.5042 0.0000 0.4052
In: 0.5042 0.5000 0.9052
In: 0.8207 0.0000 0.3208
In: 0.8207 0.5000 0.8208
In: 0.9142 0.0000 0.1245
In: 0.9142 0.5000 0.6245



--- 2 ---
Density functional theory data (PBE) for a geometry-optimized In2SBr structure.

magnetization = 0.00 μB/f.u.
SG = C2

Cell lengths 9.6323, 3.9812, 11.8530 Å; angles 90.00, 93.11, 90.00 degrees
Element x y z (fractional)
S: 0.1473 0.9508 0.2097
S: 0.8527 0.9508 0.7903
S: 0.1473 0.4508 0.7097
S: 0.8527 0.4508 0.2903
Br: 0.6889 0.9524 0.0500
Br: 0.3111 0.9524 0.9500
Br: 0.6889 0.4524 0.5500
Br: 0.3111 0.4524 0.4500
In: 0.4103 0.4578 0.1396
In: 0.5897 0.4578 0.8604
In: 0.4103 0.9578 0.6396
In: 0.5897 0.9578 0.3604
In: 0.9951 0.9508 0.3808
In: 0.0049 0.9508 0.6192
In: 0.9951 0.4508 0.8808
In: 0.0049 0.4508 0.1192



--- 3 ---
Density functional theory data (PBE) for a geometry-optimized In2SBr structure.

magnetization = 0.00 μB/f.u.
SG = Cm

Cell lengths 11.7730, 3.9992, 11.7603 Å; angles 90.00, 108.45, 90.00 degrees
Element x y z (fractional)
S: 0.5588 0.0000 0.1704
S: 0.5588 0.5000 0.6704
S: 0.8478 0.0000 0.8831
S: 0.8478 0.5000 0.3831
Br: 0.0472 0.0000 0.6602
Br: 0.0472 0.5000 0.1602
Br: 0.2793 0.0000 0.4645
Br: 0.2793 0.5000 0.9645
In: 0.8197 0.0000 0.5061
In: 0.8197 0.5000 0.0061
In: 0.2529 0.0000 0.1681
In: 0.2529 0.5000 0.6681
In: 0.6918 0.0000 0.6750
In: 0.6918 0.5000 0.1750
In: 0.4515 0.0000 0.9170
In: 0.4515 0.5000 0.4170



What should be chosen as the least stable of them? Choose 2.



--- 1 ---
Density functional theory data (PBE) for a geometry-optimized In2SBr structure.

magnetization = 0.00 μB/f.u.
SG = P1

Cell lengths 4.0558, 6.0369, 11.3080 Å; angles 100.23, 90.03, 109.50 degrees
Element x y z (fractional)
S: 0.8292 0.9423 0.9990
S: 0.4319 0.1472 0.2649
Br: 0.1782 0.6486 0.4420
Br: 0.0790 0.4399 0.8017
In: 0.7452 0.7743 0.7370
In: 0.8831 0.0636 0.4958
In: 0.0262 0.3375 0.1796
In: 0.2429 0.7681 0.0898



--- 2 ---
Density functional theory data (PBE) for a geometry-optimized In2SBr structure.

magnetization = 0.00 μB/f.u.
SG = R3m

Cell lengths 4.0661, 4.0661, 8.2315 Å; angles 75.70, 75.70, 60.00 degrees
Element x y z (fractional)
In: 0.0717 0.0717 0.7849
In: 0.2627 0.2627 0.2119
S: 0.6745 0.6745 0.9766
Br: 0.4911 0.4911 0.5266



--- 3 ---
Density functional theory data (PBE) for a geometry-optimized In2SBr structure.

magnetization = 0.00 μB/f.u.
SG = I-42d

Cell lengths 7.7558, 7.7558, 6.8265 Å; angles 55.38, 55.38, 90.00 degrees
Element x y z (fractional)
S: 0.5000 0.5000 0.0000
S: 0.2500 0.7500 0.5000
Br: 0.0000 0.0000 0.0000
Br: 0.7500 0.2500 0.5000
In: 0.5857 0.1250 0.2500
In: 0.1643 0.6250 0.2500
In: 0.3750 0.4143 0.7500
In: 0.8750 0.8357 0.7500



What should be chosen as the least stable of them? Choose 3.



--- 1 ---
Density functional theory data (PBE) for a geometry-optimized In2SBr structure.

magnetization = 0.00 μB/f.u.
SG = P-1

Cell lengths 4.0926, 5.9992, 10.9894 Å; angles 85.81, 89.96, 70.22 degrees
Element x y z (fractional)
S: 0.2148 0.0706 0.8669
S: 0.7852 0.9294 0.1331
Br: 0.5112 0.4711 0.3199
Br: 0.4888 0.5289 0.6802
In: 0.1631 0.1775 0.5989
In: 0.8369 0.8225 0.4011
In: 0.3884 0.7217 0.0502
In: 0.6116 0.2783 0.9498



--- 2 ---
Density functional theory data (PBE) for a geometry-optimized In2SBr structure.

magnetization = 0.00 μB/f.u.
SG = C2/m

Cell lengths 9.2228, 4.1095, 12.1590 Å; angles 90.00, 100.71, 90.00 degrees
Element x y z (fractional)
S: 0.1405 0.0000 0.8294
S: 0.8595 0.0000 0.1706
S: 0.1405 0.5000 0.3294
S: 0.8595 0.5000 0.6706
Br: 0.7016 0.0000 0.8814
Br: 0.2984 0.0000 0.1186
Br: 0.7016 0.5000 0.3814
Br: 0.2984 0.5000 0.6186
In: 0.3882 0.0000 0.3738
In: 0.6118 0.0000 0.6262
In: 0.3882 0.5000 0.8738
In: 0.6118 0.5000 0.1262
In: 0.0270 0.0000 0.6203
In: 0.9730 0.0000 0.3797
In: 0.0270 0.5000 0.1203
In: 0.9730 0.5000 0.8797



--- 3 ---
Density functional theory data (PBE) for a geometry-optimized In2SBr structure.

magnetization = 0.00 μB/f.u.
SG = C2/m

Cell lengths 10.2133, 4.1137, 11.7266 Å; angles 90.00, 99.62, 90.00 degrees
Element x y z (fractional)
S: 0.1384 0.0000 0.7254
S: 0.8616 0.0000 0.2746
S: 0.1384 0.5000 0.2254
S: 0.8616 0.5000 0.7746
Br: 0.6998 0.0000 0.5211
Br: 0.3002 0.0000 0.4789
Br: 0.6998 0.5000 0.0211
Br: 0.3002 0.5000 0.9789
In: 0.4185 0.0000 0.8413
In: 0.5815 0.0000 0.1587
In: 0.4185 0.5000 0.3413
In: 0.5815 0.5000 0.6587
In: 0.9834 0.0000 0.8784
In: 0.0166 0.0000 0.1216
In: 0.9834 0.5000 0.3784
In: 0.0166 0.5000 0.6216



--- 4 ---
Density functional theory data (PBE) for a geometry-optimized In2SBr structure.

magnetization = 0.00 μB/f.u.
SG = P-1

Cell lengths 6.0218, 6.2161, 9.6783 Å; angles 102.73, 93.01, 118.05 degrees
Element x y z (fractional)
S: 0.1506 0.8399 0.0099
S: 0.8494 0.1601 0.9901
Br: 0.7765 0.6119 0.3339
Br: 0.2235 0.3881 0.6661
In: 0.8777 0.8135 0.7213
In: 0.1223 0.1865 0.2787
In: 0.7224 0.4953 0.0431
In: 0.2776 0.5047 0.9569



What should be chosen as the least stable of them? Choose 4.



--- 1 ---
Density functional theory data (PBE) for a geometry-optimized InS3Br structure.

magnetization = 4.00 μB/f.u.
SG = Pm-3m

Cell lengths 5.1502, 5.1502, 5.1502 Å; angles 90.00, 90.00, 90.00 degrees
Element x y z (fractional)
S: 0.0000 0.5000 0.0000
S: 0.0000 0.0000 0.5000
S: 0.5000 0.0000 0.0000
Br: 0.5000 0.5000 0.5000
In: 0.0000 0.0000 0.0000



--- 2 ---
Density functional theory data (PBE) for a geometry-optimized InS3Br structure.

magnetization = 0.00 μB/f.u.
SG = P1

Cell lengths 6.9673, 5.2806, 8.8223 Å; angles 60.36, 58.66, 34.22 degrees
Element x y z (fractional)
In: 0.2216 0.1613 0.5703
S: 0.6290 0.6038 0.8155
S: 0.3521 0.5100 0.5883
S: 0.4398 0.1509 0.8424
Br: 0.8675 0.6920 0.3092



What should be chosen as the least stable of them? Choose 1.



--- 1 ---
Density functional theory data (PBE) for a geometry-optimized InSeSBr2 structure.

magnetization = 3.24 μB/f.u.
SG = P4/mmm

Cell lengths 5.4841, 5.4841, 5.4916 Å; angles 90.00, 90.00, 90.00 degrees
Element x y z (fractional)
S: 0.5000 0.5000 0.5000
Se: 0.0000 0.0000 0.5000
Br: 0.0000 0.5000 0.0000
Br: 0.5000 0.0000 0.0000
In: 0.0000 0.0000 0.0000



--- 2 ---
Density functional theory data (PBE) for a geometry-optimized InSeSBr2 structure.

magnetization = 0.02 μB/f.u.
SG = P4/mmm

Cell lengths 5.4874, 5.4874, 5.0911 Å; angles 90.00, 90.00, 90.00 degrees
Element x y z (fractional)
S: 0.0000 0.0000 0.0000
Se: 0.0000 0.0000 0.5000
Br: 0.0000 0.5000 0.0000
Br: 0.5000 0.0000 0.0000
In: 0.5000 0.5000 0.5000



What should be chosen as the least stable of them? Choose 1.



--- 1 ---
Density functional theory data (PBE) for a geometry-optimized In2SbBr structure.

magnetization = 0.00 μB/f.u.
SG = R3m

Cell lengths 4.5777, 4.5777, 8.2535 Å; angles 73.90, 73.90, 60.00 degrees
Element x y z (fractional)
In: 0.0616 0.0616 0.8151
In: 0.2489 0.2489 0.2533
Sb: 0.6851 0.6851 0.9447
Br: 0.5044 0.5044 0.4869



--- 2 ---
Density functional theory data (PBE) for a geometry-optimized In2SbBr structure.

magnetization = 0.00 μB/f.u.
SG = Imm2

Cell lengths 7.0858, 7.0858, 7.0858 Å; angles 151.04, 137.46, 52.28 degrees
Element x y z (fractional)
Sb: 0.5396 0.5396 0.0000
Br: 0.2540 0.7540 0.5000
In: 0.9607 0.9607 0.0000
In: 0.7456 0.2456 0.5000



--- 3 ---
Density functional theory data (PBE) for a geometry-optimized In2SbBr structure.

magnetization = 0.00 μB/f.u.
SG = F-43m

Cell lengths 5.4111, 5.4111, 5.4111 Å; angles 60.00, 60.00, 60.00 degrees
Element x y z (fractional)
Sb: 0.7500 0.7500 0.7500
Br: 0.5000 0.5000 0.5000
In: 0.0000 0.0000 0.0000
In: 0.2500 0.2500 0.2500



What should be chosen as the least stable of them? Choose 3.



--- 1 ---
Density functional theory data (PBE) for a geometry-optimized In2SbBr structure.

magnetization = 0.00 μB/f.u.
SG = R-3m

Cell lengths 7.6429, 7.6429, 7.6429 Å; angles 34.62, 34.62, 34.62 degrees
Element x y z (fractional)
Sb: 0.2500 0.2500 0.2500
Br: 0.7500 0.7500 0.7500
In: 0.9876 0.9876 0.9876
In: 0.5124 0.5124 0.5124



--- 2 ---
Density functional theory data (PBE) for a geometry-optimized In2SbBr structure.

magnetization = 0.00 μB/f.u.
SG = P2/m

Cell lengths 4.9450, 3.5983, 7.3332 Å; angles 62.63, 90.00, 90.00 degrees
Element x y z (fractional)
Sb: 0.5000 0.2500 0.2500
Br: 0.5000 0.7500 0.7500
In: 0.0000 0.0456 0.9939
In: 0.0000 0.4544 0.5061



--- 3 ---
Density functional theory data (PBE) for a geometry-optimized In2SbBr structure.

magnetization = 0.00 μB/f.u.
SG = R3m

Cell lengths 9.0539, 9.0539, 9.0539 Å; angles 27.03, 27.03, 27.03 degrees
Element x y z (fractional)
Sb: 0.5230 0.5230 0.5230
Br: 0.7319 0.7319 0.7319
In: 0.9980 0.9980 0.9980
In: 0.2472 0.2472 0.2472



--- 4 ---
Density functional theory data (PBE) for a geometry-optimized In2SbBr structure.

magnetization = 0.00 μB/f.u.
SG = F222

Cell lengths 5.7729, 5.7739, 5.3067 Å; angles 123.03, 123.03, 89.89 degrees
Element x y z (fractional)
Sb: 0.5000 0.5000 0.0000
Br: 0.7500 0.2500 0.5000
In: 0.0000 0.0000 0.0000
In: 0.2500 0.7500 0.5000



What should be chosen as the least stable of them? Choose 4.